Density functional theory data (PBE) for a relaxed Rb2AuSF6 crystal.

Values from the calculation:
- Electronic total energy: -0.277 Ry per atom
- ΔE_f (raw): -17.18 eV/f.u.

Lattice parameters (Å, degrees): 6.5997 6.5997 6.6421 60.21 60.21 90.00
Last column: nearest neighbours and their distance in Å.
Fractional positions:
Rb 0.7500 0.2500 0.5000  12 F 3.32-3.36
Rb 0.2500 0.7500 0.5000  12 F 3.32-3.36
S 0.5000 0.5000 0.0000  4 F 1.83
F 0.7849 0.7849 0.4302  1 Au 2.03
F 0.3037 0.6963 0.0000  1 S 1.83
F 0.6963 0.3037 0.0000  1 S 1.83
F 0.3037 0.3037 0.0000  1 S 1.83
F 0.2151 0.2151 0.5698  1 Au 2.03
F 0.6963 0.6963 0.0000  1 S 1.83
Au 0.0000 0.0000 0.0000  2 F 2.03